(1)
Compound: K3Rb2UO6
Source: the Alexandria database
Functional: PBE
Structure: optimized geometry

abc: 6.819 11.741 6.549
angles: 90.00 111.36 90.00
Space group C2/m (No. 12)
One atom of each set of equivalent atoms:
K 0.000 0.000 0.000 [2 per cell]
K 0.000 0.341 0.000 [4 per cell]
Rb 0.000 0.167 0.500 [4 per cell]
U 0.000 0.500 0.500 [2 per cell]
O 0.180 0.500 0.305 [4 per cell]
O 0.192 0.376 0.708 [8 per cell]

Properties
For the density of states at the Fermi level, the calculation gives 11.6 states/eV/f.u. The total energy comes out at -141.10 eV for the cell shown. The energy relative to the elements, uncorrected is -195 kJ/mol of atoms.

---

(2)
Compound: HfBRh3
Source: the Alexandria database
Functional: PBE
Structure: optimized geometry

abc: 3.836 3.836 6.184
angles: 90.00 90.00 90.00
Space group P4mm (No. 99)
One atom of each set of equivalent atoms:
Hf 0.000 0.000 0.000 [1 per cell]
B 0.500 0.500 0.436 [1 per cell]
Rh 0.000 0.000 0.620 [1 per cell]
Rh 0.000 0.500 0.297 [2 per cell]

Properties
For the density of states at the Fermi level, the calculation gives 2.2 states/eV/f.u. The value obtained for the energy above the most stable polymorph in this dataset is 866.7 meV per atom. The total energy comes out at -38.27 eV for the cell shown. The energy relative to the elements comes out at 0.082 eV/atom.

---

(3)
Compound: Sn2HgS3
Source: the Alexandria database
Functional: PBE
Structure: optimized geometry

abc: 4.018 16.930 4.868
angles: 90.00 90.00 90.00
Space group Imm2 (No. 44)
One atom of each set of equivalent atoms:
Sn 0.000 0.152 0.000 [4 per cell]
Hg 0.000 0.500 0.021 [2 per cell]
S 0.000 0.000 0.884 [2 per cell]
S 0.000 0.357 0.862 [4 per cell]

Properties
The total energy comes out at -44.65 eV for the cell shown. The energy relative to the elements, uncorrected is -26 kJ/mol of atoms.

---

(4)
Compound: LaCeZnCo
Source: the Alexandria database
Functional: PBE
Structure: optimized geometry

abc: 7.131 7.131 7.131
angles: 90.00 90.00 90.00
Space group F-43m (No. 216)
One atom of each set of equivalent atoms:
La 0.000 0.000 0.000 [4 per cell]
Ce 0.000 0.000 0.500 [4 per cell]
Zn 0.250 0.250 0.750 [4 per cell]
Co 0.250 0.250 0.250 [4 per cell]

Properties
For the density of states at the Fermi level, the calculation gives 6.1 states/eV/f.u. The total energy comes out at -78.16 eV for the cell shown. The energy relative to the elements comes out at -0.075 eV/atom.

---

(5)
Compound: BaGaH2
Source: the Alexandria database
Functional: PBE
Structure: optimized geometry

abc: 7.652 5.842 6.993
angles: 90.00 90.00 90.00
Space group Pnma (No. 62)
One atom of each set of equivalent atoms:
Ba 0.185 0.250 0.143 [4 per cell]
Ga 0.070 0.250 0.651 [4 per cell]
H 0.089 0.036 0.823 [8 per cell]

Properties
For the density of states at the Fermi level, the calculation gives 0.7 states/eV/f.u. The value obtained for the energy above the most stable polymorph in this dataset is 0.0 meV per atom. The total energy comes out at -51.72 eV for the cell shown.

---

(6)
Compound: Ac3Np5C12
Source: the Alexandria database
Functional: PBE
Structure: optimized geometry

abc: 14.156 14.156 14.156
angles: 90.00 90.00 90.00
Space group Ia-3d (No. 230)
One atom of each set of equivalent atoms:
Ac 0.000 0.250 0.125 [24 per cell]
Np 0.000 0.000 0.000 [16 per cell]
Np 0.000 0.250 0.375 [24 per cell]
C 0.032 0.049 0.644 [96 per cell]

Properties
For the density of states at the Fermi level, the calculation gives 20.8 states/eV/f.u. The total energy comes out at -1367.82 eV for the cell shown. The energy relative to the elements comes out at 0.837 eV/atom.

---

(7)
Compound: SrCu2Mo
Source: the Alexandria database
Functional: PBE
Structure: optimized geometry

abc: 4.822 4.822 17.641
angles: 90.00 90.00 90.00
Space group I4_1/amd (No. 141, origin choice 2)
One atom of each set of equivalent atoms:
Sr 0.000 0.250 0.375 [4 per cell]
Cu 0.000 0.000 0.000 [8 per cell]
Mo 0.000 0.250 0.875 [4 per cell]

Properties
For the density of states at the Fermi level, the calculation gives 2.6 states/eV/f.u. The value obtained for the energy above the most stable polymorph in this dataset is 439.7 meV per atom. The total energy comes out at -69.31 eV for the cell shown. The energy relative to the elements comes out at 0.844 eV/atom.

---

(8)
Compound: CaSi2Ru
Source: the Alexandria database
Functional: PBE
Structure: optimized geometry

abc: 3.176 3.176 6.816
angles: 90.00 90.00 90.00
Space group P4mm (No. 99)
One atom of each set of equivalent atoms:
Ca 0.000 0.000 0.000 [1 per cell]
Si 0.000 0.000 0.476 [1 per cell]
Si 0.500 0.500 0.692 [1 per cell]
Ru 0.500 0.500 0.333 [1 per cell]

Properties
For the density of states at the Fermi level, the calculation gives 1.8 states/eV/f.u. The total energy comes out at -23.28 eV for the cell shown. The energy relative to the elements, uncorrected is -28 kJ/mol of atoms.

---

(9)
Compound: InBrF
Source: the Alexandria database
Functional: PBE
Structure: optimized geometry

abc: 12.020 3.820 8.431
angles: 90.00 132.33 90.00
Space group Cm (No. 8)
One atom of each set of equivalent atoms:
In 0.000 0.000 0.000 [2 per cell]
In 0.195 0.500 0.825 [2 per cell]
Br 0.125 0.500 0.323 [2 per cell]
Br 0.282 0.000 0.153 [2 per cell]
F 0.007 0.500 0.816 [2 per cell]
F 0.099 0.000 0.653 [2 per cell]

Properties
For the density of states at the Fermi level, the calculation gives 0.0 states/eV/f.u. The total energy comes out at -42.07 eV for the cell shown. The energy relative to the elements, uncorrected is -136 kJ/mol of atoms.

---

(10)
Compound: Sc5Ru4Au
Source: the Alexandria database
Functional: PBE
Structure: optimized geometry

abc: 3.245 3.245 16.283
angles: 90.00 90.00 90.00
Space group P4/mmm (No. 123)
One atom of each set of equivalent atoms:
Sc 0.000 0.000 0.000 [1 per cell]
Sc 0.000 0.000 0.193 [2 per cell]
Sc 0.000 0.000 0.386 [2 per cell]
Ru 0.500 0.500 0.099 [2 per cell]
Ru 0.500 0.500 0.297 [2 per cell]
Au 0.500 0.500 0.500 [1 per cell]

Properties
For the density of states at the Fermi level, the calculation gives 5.2 states/eV/f.u. The total energy comes out at -78.53 eV for the cell shown. The energy relative to the elements comes out at -0.650 eV/atom.

---

(11)
Compound: NdB6W2
Source: the Alexandria database
Functional: PBE
Structure: optimized geometry

abc: 3.179 7.064 8.593
angles: 90.00 90.00 90.00
Space group Immm (No. 71)
One atom of each set of equivalent atoms:
Nd 0.000 0.000 0.000 [2 per cell]
B 0.000 0.166 0.500 [4 per cell]
B 0.000 0.239 0.306 [8 per cell]
W 0.000 0.500 0.154 [4 per cell]

Properties
For the density of states at the Fermi level, the calculation gives 2.4 states/eV/f.u. The total energy comes out at -149.18 eV for the cell shown. The energy relative to the elements comes out at -0.428 eV/atom.

---

(12)
Compound: TmZr2Nb
Source: the Alexandria database
Functional: PBE
Structure: optimized geometry

abc: 3.2232 3.2232 31.1083
angles: 90.00 90.00 120.00
Space group R-3m (No. 166, hexagonal axes)
One atom of each set of equivalent atoms:
Tm 0.0000 0.0000 0.0000 [3 per cell]
Zr 0.0000 0.0000 0.2428 [6 per cell]
Nb 0.0000 0.0000 0.5000 [3 per cell]

Properties
For the density of states at the Fermi level, the calculation gives 7.4 states/eV/f.u. The value obtained for the energy above the most stable polymorph in this dataset is 128.7 meV per atom. The total energy comes out at -92.35 eV for the cell shown. The energy relative to the elements comes out at 0.214 eV/atom.